{
  "formula": "Ba2BrN2",
  "functional": "PBE",
  "state": "relaxed",
  "lattice": [[-1.708, 3.140, 2.012], [-3.238, -0.151, -2.513], [-6.053, -3.603, 4.668]],
  "species": ["N", "N", "Ba", "Ba", "Br"],
  "fractional_positions": [[0.750, 0.250, 0.500], [0.250, 0.750, 0.500], [0.357, 0.357, 0.287], [0.643, 0.643, 0.713], [0.000, 0.000, 0.000]],
  "final_energy_ev_per_atom": -4.636,
  "polymorph_energy_mev_per_atom": 894.3,
  "m_tot_mub_per_fu": 0.00
}